Record 1
# TcAgRh2

TcAgRh2 after structural relaxation (GGA-PBE, Alexandria via LeMat-Bulk).

E_form: 2.1 eV/f.u.
Calculated total energy: -6.454 eV per atom
Space group: No. 216
V: 15.2 Å³ per atom
Polymorph energy (0 for the lowest one): 0.509 eV/atom

a b c (Å): 4.415 4.415 4.415
angles (deg): 60.00 60.00 60.00
Positions (direct):
Ag (0.500, 0.500, 0.500)
Rh (0.000, 0.000, 0.000)
Rh (0.250, 0.250, 0.250)
Tc (0.750, 0.750, 0.750)


Record 2
# Tc2AgRh

Tc2AgRh after structural relaxation (GGA-PBE, Alexandria via LeMat-Bulk).

E_form: 1.2 eV/f.u.
Calculated total energy: -7.436 eV per atom
Space group: No. 8
V: 15.1 Å³ per atom
Polymorph energy (0 for the lowest one): 0.175 eV/atom

a b c (Å): 4.800 4.800 4.923
angles (deg): 81.40 81.40 32.68
Positions (direct):
Ag (0.502, 0.502, 0.494)
Rh (0.259, 0.259, 0.240)
Tc (0.992, 0.992, 0.994)
Tc (0.746, 0.746, 0.772)


Record 3
# Tc3AgRh

Tc3AgRh after structural relaxation (GGA-PBE, Alexandria via LeMat-Bulk).

E_form: 9.2 eV/f.u.
Calculated total energy: -6.413 eV per atom
Space group: No. 221
V: 20.4 Å³ per atom
Polymorph energy (0 for the lowest one): 0.000 eV/atom

a b c (Å): 4.669 4.669 4.669
angles (deg): 90.00 90.00 90.00
Positions (direct):
Rh (0.000, 0.000, 0.000)
Tc (0.000, 0.500, 0.000)
Tc (0.000, 0.000, 0.500)
Tc (0.500, 0.000, 0.000)
Ag (0.500, 0.500, 0.500)


Record 4
# Tc2AgRh

Tc2AgRh after structural relaxation (GGA-PBE, Alexandria via LeMat-Bulk).

E_form: 1.1 eV/f.u.
Calculated total energy: -7.471 eV per atom
Space group: No. 166
V: 15.2 Å³ per atom
Polymorph energy (0 for the lowest one): 0.140 eV/atom

a b c (Å): 9.446 9.446 9.446
angles (deg): 16.71 16.71 16.71
Positions (direct):
Ag (0.250, 0.250, 0.250)
Rh (0.750, 0.750, 0.750)
Tc (0.005, 0.005, 0.005)
Tc (0.495, 0.495, 0.495)


The highest polymorph energy (0 for the lowest one) belongs to which entry? TcAgRh2